Compound: AcPuAlO6
Source: Alexandria via LeMat-Bulk
Functional: GGA-PBE
Structure: relaxed

The structure in CIF format:
```
data_AcPuAlO6
_chemical_formula_sum 'Ac1 Pu1 Al1 O6'
_cell_length_a 5.3071
_cell_length_b 5.3071
_cell_length_c 5.4246
_cell_angle_alpha 90.00
_cell_angle_beta 90.00
_cell_angle_gamma 120.00
_space_group_name_H-M_alt 'P 3 1 2'
_space_group_IT_number 149
loop_
_space_group_symop_operation_xyz
'x,y,z'
'-y,x-y,z'
'-x+y,-x,z'
'-y,-x,-z'
'-x+y,y,-z'
'x,x-y,-z'
loop_
_atom_site_label
_atom_site_type_symbol
_atom_site_fract_x
_atom_site_fract_y
_atom_site_fract_z
Ac1 Ac 0.0000 0.0000 0.0000
Pu1 Pu 0.3333 0.6667 0.5000
Al1 Al 0.6667 0.3333 0.5000
O1 O 0.3794 0.0182 0.7036
```

- energy relative to the elements, uncorrected (meV per atom) = -2907
- crystal system = trigonal